1.
A relaxed Nd2Sm8Y3 crystal, computed with GGA-PBE.

Geometry as POSCAR:
```
Nd2Sm8Y3
1.0
6.1923 -0.0803 1.0256
-1.3583 5.6843 2.2893
-1.8602 -2.5690 11.0131
Nd Sm Y
2 8 3
Cartesian
2.9259 2.0530 8.1416
0.0480 0.9820 6.1864
-0.4311 2.2307 2.8170
3.4049 0.8043 11.5109
-0.8647 4.4518 5.6345
3.8385 -1.4168 8.6935
-0.3916 3.1998 9.0492
0.5224 -0.2658 9.5859
2.4514 3.3008 4.7420
3.3655 -0.1648 5.2788
0.0000 0.0000 0.0000
2.8806 1.0765 1.9202
0.0933 1.9585 12.4077
```

Computed properties:
E_form, eV/atom: 0.016
N(E_F), states/eV/f.u.: 20.079
Energy above the lowest structure with this stoichiometry, meV per atom: 0



2.
A relaxed La2HfScO crystal, computed with GGA-PBE.

Geometry as POSCAR:
```
La2HfScO
1.0
5.2466 0.0000 0.0000
0.0000 5.2466 0.0000
0.0000 0.0000 4.2544
Sc Hf O La
1 1 1 2
Cartesian
0.0000 0.0000 2.1272
2.6233 2.6233 2.1272
0.0000 0.0000 0.0000
0.0000 2.6233 0.0000
2.6233 0.0000 0.0000
```

Computed properties:
N(E_F), states/eV/f.u.: 3.672
E_form (uncorrected), eV per atom: -1.087



3.
A relaxed Be3C5 crystal, computed with GGA-PBE.

Geometry as POSCAR:
```
Be3C5
1.0
7.6582 0.3900 0.0000
-3.3726 5.0120 0.0000
0.0000 0.0000 4.3742
Be C
6 10
Cartesian
4.3337 1.0248 1.0935
2.2663 0.9459 3.2806
2.8720 3.4994 1.0935
1.2654 1.8638 1.0935
3.6896 2.6680 3.2806
0.3486 3.6763 3.2806
0.9299 3.9183 0.4643
2.9027 1.8693 1.8588
2.9027 1.8693 0.3283
0.9299 3.9183 1.7228
-0.1798 0.9254 1.0935
-1.6434 4.2928 3.2806
6.0813 1.1854 1.0935
3.5431 5.0591 1.0935
-1.1308 2.9349 3.2806
5.1739 3.5648 3.2806
```

Computed properties:
E_form, eV/atom: 0.667
Energy above the lowest structure with this stoichiometry, meV per atom: 0